# 1
{
  "formula": "MnInRe3",
  "functional": "PBE-GGA",
  "state": "relaxed",
  "vol_a3_per_cell": 89.4,
  "e_above_lowest_polymorph_mev_per_atom": 0.0,
  "cell": [[4.472, 0.000, 0.000], [0.000, 4.472, 0.000], [0.000, 0.000, 4.472]],
  "species": ["Mn", "In", "Re", "Re", "Re"],
  "frac_coords": [[0.000, 0.000, 0.000], [0.500, 0.500, 0.500], [0.000, 0.000, 0.500], [0.000, 0.500, 0.000], [0.500, 0.000, 0.000]]
}

---

# 2
{
  "formula": "BeRu2Pt",
  "functional": "PBE-GGA",
  "state": "relaxed",
  "vol_a3_per_cell": 53.0,
  "energy_ev_per_atom": -7.021,
  "cell": [[1.350, 0.779, 8.397], [-1.350, 0.779, 8.397], [0.000, -1.558, 8.397]],
  "species": ["Be", "Ru", "Ru", "Pt"],
  "frac_coords": [[0.000, 0.000, 0.000], [0.259, 0.259, 0.259], [0.741, 0.741, 0.741], [0.500, 0.500, 0.500]]
}

---

# 3
{
  "formula": "Cs2AgCl4",
  "functional": "PBE-GGA",
  "state": "relaxed",
  "vol_a3_per_cell": 236.4,
  "e_above_lowest_polymorph_mev_per_atom": 3.2,
  "cell": [[-2.624, 2.624, 8.586], [2.624, -2.624, 8.586], [2.624, 2.624, -8.586]],
  "species": ["Cs", "Cs", "Ag", "Cl", "Cl", "Cl", "Cl"],
  "frac_coords": [[0.142, 0.142, 0.000], [0.858, 0.858, 0.000], [0.500, 0.500, 0.000], [0.000, 0.500, 0.500], [0.348, 0.348, 0.000], [0.500, 0.000, 0.500], [0.652, 0.652, 0.000]]
}

---

# 4
{
  "formula": "Nd13Dy3",
  "functional": "PBE-GGA",
  "state": "relaxed",
  "vol_a3_per_cell": 552.1,
  "e_above_lowest_polymorph_mev_per_atom": 0.0,
  "cell": [[10.336, 0.000, 0.000], [0.000, 5.166, 5.170], [0.000, -5.166, 5.170]],
  "species": ["Nd", "Nd", "Nd", "Nd", "Nd", "Nd", "Nd", "Nd", "Nd", "Nd", "Nd", "Nd", "Nd", "Dy", "Dy", "Dy"],
  "frac_coords": [[0.000, 0.000, 0.000], [0.000, 0.000, 0.496], [0.000, 0.496, 0.000], [0.000, 0.496, 0.496], [0.251, 0.247, 0.749], [0.251, 0.749, 0.247], [0.251, 0.749, 0.749], [0.500, 0.000, 0.496], [0.500, 0.496, 0.000], [0.500, 0.496, 0.496], [0.749, 0.247, 0.749], [0.749, 0.749, 0.247], [0.749, 0.749, 0.749], [0.251, 0.247, 0.247], [0.500, 0.000, 0.000], [0.749, 0.247, 0.247]]
}

---

# 5
{
  "formula": "Hg2MoAs",
  "functional": "PBE-GGA",
  "state": "relaxed",
  "vol_a3_per_cell": 80.4,
  "energy_ev_per_atom": -3.448,
  "cell": [[2.912, 0.000, 0.000], [0.000, 5.364, 0.000], [-0.950, 0.000, 5.149]],
  "species": ["Hg", "Hg", "Mo", "As"],
  "frac_coords": [[0.201, 0.000, 0.261], [0.799, 0.000, 0.739], [0.000, 0.500, 0.500], [0.000, 0.500, 0.000]]
}